No. 1
A geometry-optimized Nb2Fe2Cl7 structure, computed with PBE-GGA.

* formation energy (no corrections): -744.5 meV/atom
* calculated density: 3.339 g cm⁻³
* electronic total energy: -232.72 eV/cell

Cell lengths 10.698, 9.597, 11.008 Å; angles 90.00, 106.19, 90.00 degrees
Space group C2/c (No. 15)
Inequivalent atoms, fractional coordinates:
Nb1 0.102 0.100 0.486 (multiplicity 8)
Fe1 0.113 0.118 0.276 (multiplicity 8)
Cl1 0.000 0.321 0.250 (multiplicity 4)
Cl2 0.117 0.156 0.002 (multiplicity 8)
Cl3 0.172 0.366 0.551 (multiplicity 8)
Cl4 0.192 0.087 0.726 (multiplicity 8)

No. 2
A geometry-optimized NbFeRe2Cl structure, computed with PBE-GGA.

* formation energy (no corrections): 1548.4 meV/atom
* calculated density: 10.620 g cm⁻³
* electronic total energy: -37.53 eV/cell

Cell lengths 4.493, 4.493, 4.312 Å; angles 90.00, 90.00, 90.00 degrees
Space group P4/mmm (No. 123)
Inequivalent atoms, fractional coordinates:
Nb1 0.000 0.000 0.000 (multiplicity 1)
Fe1 0.500 0.500 0.500 (multiplicity 1)
Re1 0.000 0.500 0.500 (multiplicity 2)
Cl1 0.500 0.500 0.000 (multiplicity 1)

No. 3
A geometry-optimized NbFeS2Cl structure, computed with PBE-GGA.

* formation energy (no corrections): 403.1 meV/atom
* ΔE to the lowest computed polymorph: 0.283 eV per atom
* calculated density: 4.778 g cm⁻³
* electronic total energy: -26.62 eV/cell

Cell lengths 4.449, 4.449, 4.360 Å; angles 90.00, 90.00, 90.00 degrees
Space group P4/mmm (No. 123)
Inequivalent atoms, fractional coordinates:
Nb1 0.000 0.000 0.000 (multiplicity 1)
Fe1 0.500 0.500 0.500 (multiplicity 1)
S1 0.000 0.500 0.500 (multiplicity 2)
Cl1 0.500 0.500 0.000 (multiplicity 1)

No. 4
A geometry-optimized NbFeS2Cl structure, computed with PBE-GGA.

* formation energy (no corrections): 119.8 meV/atom
* ΔE to the lowest computed polymorph: 0.000 eV per atom
* calculated density: 3.671 g cm⁻³
* electronic total energy: -28.03 eV/cell

Cell lengths 4.828, 4.828, 4.820 Å; angles 90.00, 90.00, 90.00 degrees
Space group P4/mmm (No. 123)
Inequivalent atoms, fractional coordinates:
Nb1 0.000 0.000 0.000 (multiplicity 1)
Fe1 0.500 0.500 0.500 (multiplicity 1)
S1 0.000 0.500 0.000 (multiplicity 2)
Cl1 0.000 0.000 0.500 (multiplicity 1)

No. 5
A geometry-optimized ZrNbFe2Cl structure, computed with PBE-GGA.

* formation energy (no corrections): 1650.2 meV/atom
* calculated density: 4.764 g cm⁻³
* electronic total energy: -29.14 eV/cell

Cell lengths 4.743, 4.743, 5.133 Å; angles 90.00, 90.00, 90.00 degrees
Space group P4/mmm (No. 123)
Inequivalent atoms, fractional coordinates:
Zr1 0.000 0.000 0.000 (multiplicity 1)
Nb1 0.000 0.000 0.500 (multiplicity 1)
Fe1 0.000 0.500 0.000 (multiplicity 2)
Cl1 0.500 0.500 0.500 (multiplicity 1)

No. 6
A geometry-optimized ZrNb2FeCl structure, computed with PBE-GGA.

* formation energy (no corrections): 801.9 meV/atom
* calculated density: 6.396 g cm⁻³
* electronic total energy: -34.99 eV/cell

Cell lengths 4.799, 4.799, 4.153 Å; angles 90.00, 90.00, 90.00 degrees
Space group P4/mmm (No. 123)
Inequivalent atoms, fractional coordinates:
Zr1 0.000 0.000 0.000 (multiplicity 1)
Nb1 0.000 0.500 0.500 (multiplicity 2)
Fe1 0.500 0.500 0.500 (multiplicity 1)
Cl1 0.500 0.500 0.000 (multiplicity 1)

No. 7
A geometry-optimized NdFeCl structure, computed with PBE-GGA.

* formation energy (no corrections): -1025.4 meV/atom
* calculated density: 5.153 g cm⁻³
* electronic total energy: -72.61 eV/cell

Cell lengths 6.859, 3.961, 11.422 Å; angles 90.00, 101.91, 90.00 degrees
Space group Cm (No. 8)
Inequivalent atoms, fractional coordinates:
Nd1 0.000 0.000 0.000 (multiplicity 2)
Nd2 0.127 0.000 0.369 (multiplicity 2)
Fe1 0.230 0.500 0.184 (multiplicity 2)
Fe2 0.397 0.000 0.184 (multiplicity 2)
Cl1 0.015 0.500 0.528 (multiplicity 2)
Cl2 0.279 0.000 0.840 (multiplicity 2)

No. 8
A geometry-optimized NdFeCl structure, computed with PBE-GGA.

* formation energy (no corrections): -811.9 meV/atom
* calculated density: 6.080 g cm⁻³
* electronic total energy: -70.05 eV/cell

Cell lengths 4.144, 16.046, 3.870 Å; angles 90.00, 90.00, 90.00 degrees
Space group Cmcm (No. 63)
Inequivalent atoms, fractional coordinates:
Nd1 0.000 0.101 0.250 (multiplicity 4)
Fe1 0.000 0.470 0.250 (multiplicity 4)
Cl1 0.000 0.316 0.250 (multiplicity 4)

No. 9
A geometry-optimized Nd2FeCl structure, computed with PBE-GGA.

* formation energy (no corrections): -583.5 meV/atom
* calculated density: 6.167 g cm⁻³
* electronic total energy: -66.54 eV/cell

Cell lengths 3.8888, 3.8888, 23.4247 Å; angles 90.00, 90.00, 120.00 degrees
Space group R-3m (No. 166, hexagonal axes)
Inequivalent atoms, fractional coordinates:
Nd1 0.0000 0.0000 0.2370 (multiplicity 6)
Fe1 0.0000 0.0000 0.5000 (multiplicity 3)
Cl1 0.0000 0.0000 0.0000 (multiplicity 3)

No. 10
A geometry-optimized NdFe2Cl8 structure, computed with PBE-GGA.

* formation energy (no corrections): -1268.8 meV/atom
* calculated density: 2.348 g cm⁻³
* electronic total energy: -100.85 eV/cell

Cell lengths 12.872, 9.228, 6.456 Å; angles 90.00, 95.57, 90.00 degrees
Space group C2/m (No. 12)
Inequivalent atoms, fractional coordinates:
Nd1 0.000 0.000 0.000 (multiplicity 2)
Fe1 0.195 0.000 0.644 (multiplicity 4)
Cl1 0.102 0.192 0.763 (multiplicity 8)
Cl2 0.145 0.500 0.229 (multiplicity 4)
Cl3 0.176 0.000 0.288 (multiplicity 4)

No. 11
A geometry-optimized FeNi2Cl structure, computed with PBE-GGA.

* formation energy (no corrections): 238.1 meV/atom
* ΔE to the lowest computed polymorph: 0.132 eV per atom
* calculated density: 6.379 g cm⁻³
* electronic total energy: -62.76 eV/cell

Cell lengths 2.9618, 2.9618, 21.4525 Å; angles 90.00, 90.00, 120.00 degrees
Space group R-3m (No. 166, hexagonal axes)
Inequivalent atoms, fractional coordinates:
Fe1 0.0000 0.0000 0.0000 (multiplicity 3)
Ni1 0.0000 0.0000 0.2538 (multiplicity 6)
Cl1 0.0000 0.0000 0.5000 (multiplicity 3)

No. 12
A geometry-optimized FeNiCl2 structure, computed with PBE-GGA.

* formation energy (no corrections): 203.8 meV/atom
* ΔE to the lowest computed polymorph: 0.440 eV per atom
* calculated density: 4.450 g cm⁻³
* electronic total energy: -17.12 eV/cell

Cell lengths 3.360, 3.638, 5.734 Å; angles 90.00, 99.08, 90.00 degrees
Space group P2/m (No. 10)
Inequivalent atoms, fractional coordinates:
Fe1 0.000 0.000 0.000 (multiplicity 1)
Ni1 0.500 0.000 0.500 (multiplicity 1)
Cl1 0.255 0.500 0.254 (multiplicity 2)

No. 13
A geometry-optimized FeNi2Cl structure, computed with PBE-GGA.

* formation energy (no corrections): 209.1 meV/atom
* ΔE to the lowest computed polymorph: 0.103 eV per atom
* calculated density: 6.359 g cm⁻³
* electronic total energy: -21.04 eV/cell

Cell lengths 3.017, 3.017, 5.989 Å; angles 90.00, 90.00, 90.00 degrees
Space group P4/mmm (No. 123)
Inequivalent atoms, fractional coordinates:
Fe1 0.000 0.000 0.000 (multiplicity 1)
Ni1 0.500 0.500 0.208 (multiplicity 2)
Cl1 0.000 0.000 0.500 (multiplicity 1)

No. 14
A geometry-optimized FeNi4Cl structure, computed with PBE-GGA.

* formation energy (no corrections): 519.1 meV/atom
* calculated density: 6.935 g cm⁻³
* electronic total energy: -121.28 eV/cell

Cell lengths 6.785, 6.785, 6.785 Å; angles 90.00, 90.00, 90.00 degrees
Space group F-43m (No. 216)
Inequivalent atoms, fractional coordinates:
Fe1 0.000 0.000 0.000 (multiplicity 4)
Ni1 0.126 0.126 0.626 (multiplicity 16)
Cl1 0.250 0.250 0.250 (multiplicity 4)

No. 15
A geometry-optimized FeNiCl2 structure, computed with PBE-GGA.

* formation energy (no corrections): -150.3 meV/atom
* ΔE to the lowest computed polymorph: 0.085 eV per atom
* calculated density: 3.538 g cm⁻³
* electronic total energy: -37.08 eV/cell

Cell lengths 8.545, 3.334, 6.122 Å; angles 90.00, 93.44, 90.00 degrees
Space group Cm (No. 8)
Inequivalent atoms, fractional coordinates:
Fe1 0.000 0.000 0.000 (multiplicity 2)
Ni1 0.204 0.500 0.959 (multiplicity 2)
Cl1 0.076 0.500 0.262 (multiplicity 2)
Cl2 0.329 0.000 0.770 (multiplicity 2)

No. 16
A geometry-optimized FeNiCl2 structure, computed with PBE-GGA.

* formation energy (no corrections): 603.3 meV/atom
* ΔE to the lowest computed polymorph: 0.839 eV per atom
* calculated density: 4.744 g cm⁻³
* electronic total energy: -62.10 eV/cell

Cell lengths 6.380, 6.380, 6.380 Å; angles 90.00, 90.00, 90.00 degrees
Space group F-43m (No. 216)
Inequivalent atoms, fractional coordinates:
Fe1 0.000 0.000 0.000 (multiplicity 4)
Ni1 0.250 0.250 0.250 (multiplicity 4)
Cl1 0.000 0.000 0.500 (multiplicity 4)
Cl2 0.250 0.250 0.750 (multiplicity 4)

No. 17
A geometry-optimized Fe2NiCl5 structure, computed with PBE-GGA.

* formation energy (no corrections): -513.3 meV/atom
* calculated density: 2.771 g cm⁻³
* electronic total energy: -72.09 eV/cell

Cell lengths 9.095, 7.625, 7.029 Å; angles 90.00, 121.26, 90.00 degrees
Space group Cm (No. 8)
Inequivalent atoms, fractional coordinates:
Fe1 0.000 0.176 0.000 (multiplicity 4)
Ni1 0.305 0.500 0.106 (multiplicity 2)
Cl1 0.008 0.500 0.871 (multiplicity 2)
Cl2 0.107 0.000 0.334 (multiplicity 2)
Cl3 0.307 0.206 0.113 (multiplicity 4)
Cl4 0.391 0.500 0.690 (multiplicity 2)

No. 18
A geometry-optimized FeNiCl2 structure, computed with PBE-GGA.

* formation energy (no corrections): -1.6 meV/atom
* ΔE to the lowest computed polymorph: 0.234 eV per atom
* calculated density: 4.151 g cm⁻³
* electronic total energy: -71.77 eV/cell

Cell lengths 5.303, 5.303, 10.552 Å; angles 90.00, 90.00, 90.00 degrees
Space group I-42d (No. 122)
Inequivalent atoms, fractional coordinates:
Fe1 0.000 0.000 0.000 (multiplicity 4)
Ni1 0.000 0.000 0.500 (multiplicity 4)
Cl1 0.243 0.250 0.625 (multiplicity 8)

No. 19
A geometry-optimized FeNiCl2 structure, computed with PBE-GGA.

* formation energy (no corrections): 311.9 meV/atom
* ΔE to the lowest computed polymorph: 0.548 eV per atom
* calculated density: 5.208 g cm⁻³
* electronic total energy: -16.69 eV/cell

Cell lengths 3.090, 3.090, 6.191 Å; angles 90.00, 90.00, 90.00 degrees
Space group P4/mmm (No. 123)
Inequivalent atoms, fractional coordinates:
Fe1 0.000 0.000 0.000 (multiplicity 1)
Ni1 0.000 0.000 0.500 (multiplicity 1)
Cl1 0.500 0.500 0.247 (multiplicity 2)

No. 20
A geometry-optimized FeNi2Cl structure, computed with PBE-GGA.

* formation energy (no corrections): 525.7 meV/atom
* ΔE to the lowest computed polymorph: 0.420 eV per atom
* calculated density: 6.763 g cm⁻³
* electronic total energy: -39.54 eV/cell

Cell lengths 5.048, 7.381, 2.751 Å; angles 90.00, 90.00, 90.00 degrees
Space group Cmmm (No. 65)
Inequivalent atoms, fractional coordinates:
Fe1 0.000 0.000 0.000 (multiplicity 2)
Ni1 0.250 0.250 0.500 (multiplicity 4)
Cl1 0.000 0.500 0.000 (multiplicity 2)

No. 21
A geometry-optimized FeNiCl2 structure, computed with PBE-GGA.

* formation energy (no corrections): -235.8 meV/atom
* ΔE to the lowest computed polymorph: 0.000 eV per atom
* calculated density: 3.922 g cm⁻³
* electronic total energy: -56.64 eV/cell

Cell lengths 3.3948, 3.3948, 23.5975 Å; angles 90.00, 90.00, 120.00 degrees
Space group R3m (No. 160, hexagonal axes)
Inequivalent atoms, fractional coordinates:
Fe1 0.0000 0.0000 0.0000 (multiplicity 3)
Ni1 0.0000 0.0000 0.2750 (multiplicity 3)
Cl1 0.0000 0.0000 0.5527 (multiplicity 3)
Cl2 0.0000 0.0000 0.7303 (multiplicity 3)

No. 22
A geometry-optimized FeNiCl2 structure, computed with PBE-GGA.

* formation energy (no corrections): 165.6 meV/atom
* ΔE to the lowest computed polymorph: 0.401 eV per atom
* calculated density: 5.021 g cm⁻³
* electronic total energy: -51.83 eV/cell

Cell lengths 3.2044, 3.2044, 20.6913 Å; angles 90.00, 90.00, 120.00 degrees
Space group R-3m (No. 166, hexagonal axes)
Inequivalent atoms, fractional coordinates:
Fe1 0.0000 0.0000 0.0000 (multiplicity 3)
Ni1 0.0000 0.0000 0.5000 (multiplicity 3)
Cl1 0.0000 0.0000 0.2500 (multiplicity 6)

No. 23
A geometry-optimized FeNiCl2 structure, computed with PBE-GGA.

* formation energy (no corrections): 192.5 meV/atom
* ΔE to the lowest computed polymorph: 0.428 eV per atom
* calculated density: 4.535 g cm⁻³
* electronic total energy: -34.33 eV/cell

Cell lengths 3.067, 6.041, 7.330 Å; angles 90.00, 90.00, 90.00 degrees
Space group Immm (No. 71)
Inequivalent atoms, fractional coordinates:
Fe1 0.000 0.000 0.000 (multiplicity 2)
Ni1 0.000 0.000 0.500 (multiplicity 2)
Cl1 0.000 0.500 0.241 (multiplicity 4)

No. 24
A geometry-optimized FeNi2Cl structure, computed with PBE-GGA.

* formation energy (no corrections): 589.0 meV/atom
* ΔE to the lowest computed polymorph: 0.483 eV per atom
* calculated density: 6.662 g cm⁻³
* electronic total energy: -39.03 eV/cell

Cell lengths 3.566, 3.566, 8.183 Å; angles 90.00, 90.00, 90.00 degrees
Space group I-4m2 (No. 119)
Inequivalent atoms, fractional coordinates:
Fe1 0.000 0.000 0.000 (multiplicity 2)
Ni1 0.000 0.000 0.500 (multiplicity 2)
Ni2 0.000 0.500 0.750 (multiplicity 2)
Cl1 0.000 0.500 0.250 (multiplicity 2)

No. 25
A geometry-optimized FeNi2Cl structure, computed with PBE-GGA.

* formation energy (no corrections): 500.7 meV/atom
* ΔE to the lowest computed polymorph: 0.395 eV per atom
* calculated density: 6.723 g cm⁻³
* electronic total energy: -19.87 eV/cell

Cell lengths 2.825, 4.209, 4.335 Å; angles 90.00, 90.00, 90.00 degrees
Space group Pmmm (No. 47)
Inequivalent atoms, fractional coordinates:
Fe1 0.000 0.000 0.000 (multiplicity 1)
Ni1 0.000 0.500 0.500 (multiplicity 1)
Ni2 0.500 0.500 0.000 (multiplicity 1)
Cl1 0.500 0.000 0.500 (multiplicity 1)

No. 26
A geometry-optimized FeNi2Cl structure, computed with PBE-GGA.

* formation energy (no corrections): 501.5 meV/atom
* ΔE to the lowest computed polymorph: 0.395 eV per atom
* calculated density: 6.610 g cm⁻³
* electronic total energy: -19.87 eV/cell

Cell lengths 4.188, 2.777, 4.846 Å; angles 90.00, 111.58, 90.00 degrees
Space group P2/m (No. 10)
Inequivalent atoms, fractional coordinates:
Fe1 0.000 0.000 0.000 (multiplicity 1)
Ni1 0.000 0.000 0.500 (multiplicity 1)
Ni2 0.500 0.500 0.500 (multiplicity 1)
Cl1 0.500 0.500 0.000 (multiplicity 1)

No. 27
A geometry-optimized FeNiCl2 structure, computed with PBE-GGA.

* formation energy (no corrections): -89.5 meV/atom
* ΔE to the lowest computed polymorph: 0.146 eV per atom
* calculated density: 4.182 g cm⁻³
* electronic total energy: -36.59 eV/cell

Cell lengths 4.174, 4.925, 7.163 Å; angles 90.00, 90.00, 90.00 degrees
Space group Cmm2 (No. 35)
Inequivalent atoms, fractional coordinates:
Fe1 0.000 0.000 0.000 (multiplicity 2)
Ni1 0.000 0.500 0.840 (multiplicity 2)
Cl1 0.000 0.000 0.670 (multiplicity 2)
Cl2 0.000 0.500 0.207 (multiplicity 2)

No. 28
A geometry-optimized FeNi2Cl structure, computed with PBE-GGA.

* formation energy (no corrections): 584.2 meV/atom
* ΔE to the lowest computed polymorph: 0.478 eV per atom
* calculated density: 6.640 g cm⁻³
* electronic total energy: -39.07 eV/cell

Cell lengths 3.707, 3.707, 7.597 Å; angles 90.00, 90.00, 90.00 degrees
Space group I4/mmm (No. 139)
Inequivalent atoms, fractional coordinates:
Fe1 0.000 0.000 0.000 (multiplicity 2)
Ni1 0.000 0.500 0.250 (multiplicity 4)
Cl1 0.000 0.000 0.500 (multiplicity 2)